A plane-wave DFT calculation with PBE was carried out for an optimized crystal structure of OsSe2Cl12.

Cell lengths 8.640, 8.640, 12.244 Å; angles 108.96, 108.96, 94.54 degrees
Each line ends with the local moment (μB).
Fractional coordinates of all 30 atoms:
Cl 0.604 0.448 0.819  0.08
Cl 0.144 0.969 0.853  0.01
Cl 0.122 0.465 0.319  0.08
Cl 0.446 0.296 0.514  0.06
Cl 0.968 0.318 0.014  0.06
Cl 0.349 0.544 0.167  0.04
Cl 0.215 0.372 0.819  0.08
Cl 0.482 0.786 0.013  0.01
Cl 0.297 0.134 0.159  0.00
Cl 0.536 0.732 0.513  0.01
Cl 0.818 0.623 0.167  0.04
Cl 0.719 0.394 0.353  0.01
Cl 0.373 0.068 0.667  0.04
Cl 0.861 0.024 0.159  0.00
Cl 0.884 0.547 0.659  0.00
Cl 0.198 0.854 0.319  0.08
Cl 0.294 0.599 0.667  0.04
Cl 0.709 0.883 0.853  0.01
Cl 0.531 0.227 0.013  0.01
Cl 0.633 0.959 0.353  0.01
Cl 0.068 0.218 0.514  0.06
Cl 0.774 0.111 0.659  0.00
Cl 0.977 0.781 0.513  0.01
Cl 0.046 0.696 0.014  0.06
Os 0.335 0.335 0.669  1.35
Os 0.085 0.585 0.169  1.34
Se 0.271 0.219 0.003  0.00
Se 0.732 0.784 0.003  0.00
Se 0.534 0.982 0.503  0.00
Se 0.969 0.521 0.503  0.00

Calculated values
total moment = 2.01 μB/f.u.
E_tot = -3.037 eV/atom